1.
The following is a PBE calculation of a relaxed AcNd4Mg5 crystal, from Alexandria via LeMat-Bulk.

Summary:
formation enthalpy at 0 K	-1.0	eV per formula unit
density of states at the Fermi level	1.104	states/eV per atom
space group	No. 123

Cell lengths 3.932, 3.932, 19.709 Å; angles 90.00, 90.00, 90.00 degrees
Positions (direct):
Ac (0.000, 0.000, 0.000)
Nd (0.000, 0.000, 0.208)
Nd (0.000, 0.000, 0.403)
Nd (0.000, 0.000, 0.597)
Nd (0.000, 0.000, 0.792)
Mg (0.500, 0.500, 0.113)
Mg (0.500, 0.500, 0.305)
Mg (0.500, 0.500, 0.500)
Mg (0.500, 0.500, 0.695)
Mg (0.500, 0.500, 0.887)

2.
The following is a PBE calculation of a relaxed Tb5Mg2OsRu2 crystal, from Alexandria via LeMat-Bulk.

Summary:
formation enthalpy at 0 K	-1.7	eV per formula unit
density of states at the Fermi level	0.722	states/eV per atom
space group	No. 127

Cell lengths 11.743, 11.743, 3.500 Å; angles 90.00, 90.00, 90.00 degrees
Positions (direct):
Tb (0.000, 0.500, 0.000)
Tb (0.055, 0.197, 0.000)
Tb (0.197, 0.945, 0.000)
Tb (0.303, 0.445, 0.000)
Tb (0.445, 0.697, 0.000)
Tb (0.500, 0.000, 0.000)
Tb (0.555, 0.303, 0.000)
Tb (0.697, 0.555, 0.000)
Tb (0.803, 0.055, 0.000)
Tb (0.945, 0.803, 0.000)
Mg (0.190, 0.690, 0.500)
Mg (0.310, 0.190, 0.500)
Mg (0.690, 0.810, 0.500)
Mg (0.810, 0.310, 0.500)
Os (0.000, 0.000, 0.500)
Os (0.500, 0.500, 0.500)
Ru (0.135, 0.365, 0.500)
Ru (0.365, 0.865, 0.500)
Ru (0.635, 0.135, 0.500)
Ru (0.865, 0.635, 0.500)

3.
The following is a PBE calculation of a relaxed NaTiTlBi2 crystal, from Alexandria via LeMat-Bulk.

Summary:
formation enthalpy at 0 K	0.0	eV per formula unit
density of states at the Fermi level	0.717	states/eV per atom
space group	No. 123

Cell lengths 5.458, 5.458, 5.516 Å; angles 90.00, 90.00, 90.00 degrees
Positions (direct):
Na (0.000, 0.000, 0.000)
Ti (0.500, 0.500, 0.500)
Tl (0.500, 0.500, 0.000)
Bi (0.000, 0.500, 0.500)
Bi (0.500, 0.000, 0.500)

4.
The following is a PBE calculation of a relaxed LuTc crystal, from Alexandria via LeMat-Bulk.

Summary:
formation enthalpy at 0 K	-0.1	eV per formula unit
density of states at the Fermi level	0.759	states/eV per atom
space group	No. 11

Cell lengths 4.554, 3.894, 5.581 Å; angles 90.00, 113.91, 90.00 degrees
Positions (direct):
Lu (0.141, 0.250, 0.283)
Lu (0.859, 0.750, 0.717)
Tc (0.436, 0.250, 0.873)
Tc (0.564, 0.750, 0.127)

5.
The following is a PBE calculation of a relaxed ZrReP crystal, from Alexandria via LeMat-Bulk.

Summary:
formation enthalpy at 0 K	-1.7	eV per formula unit
density of states at the Fermi level	0.732	states/eV per atom
space group	No. 8

Cell lengths 4.949, 4.949, 6.929 Å; angles 100.99, 100.99, 38.30 degrees
Positions (direct):
Zr (0.000, 0.000, 0.000)
Zr (0.236, 0.236, 0.632)
Re (0.478, 0.478, 0.359)
Re (0.742, 0.742, 0.275)
P (0.281, 0.281, 0.034)
P (0.523, 0.523, 0.702)

6.
The following is a PBE calculation of a relaxed CaTlOs2 crystal, from Alexandria via LeMat-Bulk.

Summary:
formation enthalpy at 0 K	3.5	eV per formula unit
density of states at the Fermi level	1.169	states/eV per atom
space group	No. 47
energy above the most stable polymorph in this dataset	575.2	meV per atom

Cell lengths 3.167, 4.692, 4.958 Å; angles 90.00, 90.00, 90.00 degrees
Positions (direct):
Ca (0.000, 0.000, 0.000)
Tl (0.500, 0.000, 0.500)
Os (0.000, 0.500, 0.500)
Os (0.500, 0.500, 0.000)

7.
The following is a PBE calculation of a relaxed SnAs2C crystal, from Alexandria via LeMat-Bulk.

Summary:
formation enthalpy at 0 K	6.1	eV per formula unit
density of states at the Fermi level	0.574	states/eV per atom
space group	No. 225
energy above the most stable polymorph in this dataset	836.8	meV per atom

Cell lengths 4.671, 4.671, 4.671 Å; angles 60.00, 60.00, 60.00 degrees
Positions (direct):
Sn (0.000, 0.000, 0.000)
As (0.250, 0.250, 0.250)
As (0.750, 0.750, 0.750)
C (0.500, 0.500, 0.500)

8.
The following is a PBE calculation of a relaxed LiLa3V crystal, from Alexandria via LeMat-Bulk.

Summary:
formation enthalpy at 0 K	1.9	eV per formula unit
density of states at the Fermi level	1.506	states/eV per atom
space group	No. 221
energy above the most stable polymorph in this dataset	0.0	meV per atom

Cell lengths 5.509, 5.509, 5.509 Å; angles 90.00, 90.00, 90.00 degrees
Positions (direct):
Li (0.000, 0.000, 0.000)
La (0.000, 0.500, 0.500)
La (0.500, 0.000, 0.500)
La (0.500, 0.500, 0.000)
V (0.500, 0.500, 0.500)

no.,calculated volume (A^3/atom)
1,30.467
2,24.134
3,32.862
4,22.616
5,17.168
6,18.418
7,18.020
8,33.442